# 1
{"formula": "CeMgAgGe", "functional": "PBE-GGA", "state": "optimized geometry", "e_form_ev_per_atom": -0.37, "space_group": "F-43m", "dft_energy_ev_per_fu": -16.5, "lattice_angstrom": [[0.000, 3.526, 3.526], [3.526, 0.000, 3.526], [3.526, 3.526, 0.000]], "species": ["Ce", "Mg", "Ag", "Ge"], "frac_coords": [[0.000, 0.000, 0.000], [0.500, 0.500, 0.500], [0.750, 0.750, 0.750], [0.250, 0.250, 0.250]]}

=====

# 2
{"formula": "Ce2Ni3AgGe4", "functional": "PBE-GGA", "state": "optimized geometry", "e_form_ev_per_atom": -0.59, "space_group": "P-4m2", "dft_energy_ev_per_fu": -56.5, "lattice_angstrom": [[4.205, 0.000, 0.000], [0.000, 4.205, 0.000], [0.000, 0.000, 9.880]], "species": ["Ce", "Ce", "Ni", "Ni", "Ni", "Ag", "Ge", "Ge", "Ge", "Ge"], "frac_coords": [[0.000, 0.500, 0.242], [0.500, 0.000, 0.758], [0.000, 0.500, 0.883], [0.500, 0.000, 0.117], [0.500, 0.500, 0.500], [0.000, 0.000, 0.500], [0.000, 0.000, 0.000], [0.000, 0.500, 0.647], [0.500, 0.000, 0.353], [0.500, 0.500, 0.000]]}

=====

# 3
{"formula": "Ce8Ag6Ge8O", "functional": "PBE-GGA", "state": "optimized geometry", "space_group": "Pmc2_1", "dft_energy_ev_per_fu": -123.7, "formation_energy_uncorrected_ev_per_atom": -0.751, "lattice_angstrom": [[4.383, 0.000, 0.000], [0.000, 11.188, 0.000], [0.000, 0.000, 20.648]], "species": ["Ce", "Ce", "Ce", "Ce", "Ce", "Ce", "Ce", "Ce", "Ce", "Ce", "Ce", "Ce", "Ce", "Ce", "Ce", "Ce", "Ag", "Ag", "Ag", "Ag", "Ag", "Ag", "Ag", "Ag", "Ag", "Ag", "Ag", "Ag", "Ge", "Ge", "Ge", "Ge", "Ge", "Ge", "Ge", "Ge", "Ge", "Ge", "Ge", "Ge", "Ge", "Ge", "Ge", "Ge", "O", "O"], "frac_coords": [[0.000, 0.041, 0.000], [0.000, 0.297, 0.133], [0.000, 0.382, 0.955], [0.000, 0.383, 0.320], [0.000, 0.617, 0.820], [0.000, 0.618, 0.455], [0.000, 0.703, 0.633], [0.000, 0.959, 0.500], [0.500, 0.116, 0.744], [0.500, 0.122, 0.384], [0.500, 0.201, 0.562], [0.500, 0.456, 0.699], [0.500, 0.544, 0.199], [0.500, 0.799, 0.062], [0.500, 0.878, 0.884], [0.500, 0.884, 0.244], [0.000, 0.105, 0.253], [0.000, 0.311, 0.803], [0.000, 0.419, 0.571], [0.000, 0.581, 0.071], [0.000, 0.689, 0.303], [0.000, 0.895, 0.753], [0.500, 0.087, 0.135], [0.500, 0.194, 0.894], [0.500, 0.405, 0.447], [0.500, 0.595, 0.947], [0.500, 0.806, 0.394], [0.500, 0.913, 0.635], [0.000, 0.049, 0.638], [0.000, 0.066, 0.851], [0.000, 0.270, 0.674], [0.000, 0.271, 0.457], [0.000, 0.729, 0.957], [0.000, 0.730, 0.174], [0.000, 0.934, 0.351], [0.000, 0.951, 0.138], [0.500, 0.234, 0.027], [0.500, 0.257, 0.241], [0.500, 0.431, 0.847], [0.500, 0.450, 0.061], [0.500, 0.550, 0.561], [0.500, 0.569, 0.347], [0.500, 0.743, 0.741], [0.500, 0.766, 0.527], [0.500, 0.050, 0.488], [0.500, 0.950, 0.988]]}

=====

# 4
{"formula": "CeAgGeO5", "functional": "PBE-GGA", "state": "optimized geometry", "space_group": "C2/c", "dft_energy_ev_per_fu": -52.6, "formation_energy_uncorrected_ev_per_atom": -1.804, "lattice_angstrom": [[3.282, -4.855, 0.000], [3.282, 4.855, 0.000], [-2.947, 0.000, 7.682]], "species": ["Ce", "Ce", "Ag", "Ag", "Ge", "Ge", "O", "O", "O", "O", "O", "O", "O", "O", "O", "O"], "frac_coords": [[0.000, 0.000, 0.000], [0.000, 0.000, 0.500], [0.313, 0.687, 0.750], [0.687, 0.313, 0.250], [0.312, 0.688, 0.250], [0.688, 0.312, 0.750], [0.044, 0.656, 0.334], [0.092, 0.908, 0.750], [0.253, 0.418, 0.080], [0.344, 0.956, 0.166], [0.418, 0.253, 0.580], [0.582, 0.747, 0.420], [0.656, 0.044, 0.834], [0.747, 0.582, 0.920], [0.908, 0.092, 0.250], [0.956, 0.344, 0.666]]}

=====

# 5
{"formula": "Ce2PmAg2Ge2", "functional": "PBE-GGA", "state": "optimized geometry", "e_form_ev_per_atom": -0.42, "space_group": "R-3m", "dft_energy_ev_per_fu": -34.5, "lattice_angstrom": [[2.246, 1.297, 9.061], [-2.246, 1.297, 9.061], [0.000, -2.594, 9.061]], "species": ["Ce", "Ce", "Pm", "Ag", "Ag", "Ge", "Ge"], "frac_coords": [[0.142, 0.142, 0.142], [0.858, 0.858, 0.858], [0.000, 0.000, 0.000], [0.408, 0.408, 0.408], [0.592, 0.592, 0.592], [0.263, 0.263, 0.263], [0.737, 0.737, 0.737]]}

=====

# 6
{"formula": "CePrAgGe", "functional": "PBE-GGA", "state": "optimized geometry", "e_form_ev_per_atom": -0.42, "space_group": "F-43m", "dft_energy_ev_per_fu": -19.9, "lattice_angstrom": [[0.000, 3.722, 3.722], [3.722, 0.000, 3.722], [3.722, 3.722, 0.000]], "species": ["Ce", "Pr", "Ag", "Ge"], "frac_coords": [[0.000, 0.000, 0.000], [0.500, 0.500, 0.500], [0.250, 0.250, 0.250], [0.750, 0.750, 0.750]]}

=====

# 7
{"formula": "Ce2PrAg2Ge2", "functional": "PBE-GGA", "state": "optimized geometry", "e_form_ev_per_atom": -0.42, "space_group": "R-3m", "dft_energy_ev_per_fu": -34.5, "lattice_angstrom": [[2.253, 1.301, 9.142], [-2.253, 1.301, 9.142], [0.000, -2.602, 9.142]], "species": ["Ce", "Ce", "Pr", "Ag", "Ag", "Ge", "Ge"], "frac_coords": [[0.143, 0.143, 0.143], [0.857, 0.857, 0.857], [0.000, 0.000, 0.000], [0.410, 0.410, 0.410], [0.590, 0.590, 0.590], [0.261, 0.261, 0.261], [0.739, 0.739, 0.739]]}

=====

# 8
{"formula": "Ce2AgGe4Pt3", "functional": "PBE-GGA", "state": "optimized geometry", "e_form_ev_per_atom": -0.78, "space_group": "P-4m2", "dft_energy_ev_per_fu": -59.2, "lattice_angstrom": [[4.383, 0.000, 0.000], [0.000, 4.383, 0.000], [0.000, 0.000, 10.174]], "species": ["Ce", "Ce", "Ag", "Ge", "Ge", "Ge", "Ge", "Pt", "Pt", "Pt"], "frac_coords": [[0.000, 0.500, 0.247], [0.500, 0.000, 0.753], [0.000, 0.000, 0.500], [0.000, 0.000, 0.000], [0.000, 0.500, 0.638], [0.500, 0.000, 0.362], [0.500, 0.500, 0.000], [0.000, 0.500, 0.879], [0.500, 0.000, 0.121], [0.500, 0.500, 0.500]]}

=====

# 9
{"formula": "CeAgGe2Pt5", "functional": "PBE-GGA", "state": "optimized geometry", "e_form_ev_per_atom": -0.55, "space_group": "P4/mmm", "dft_energy_ev_per_fu": -53.2, "lattice_angstrom": [[4.186, 0.000, 0.000], [0.000, 4.186, 0.000], [0.000, 0.000, 9.323]], "species": ["Ce", "Ag", "Ge", "Ge", "Pt", "Pt", "Pt", "Pt", "Pt"], "frac_coords": [[0.000, 0.000, 0.000], [0.000, 0.000, 0.500], [0.500, 0.500, 0.372], [0.500, 0.500, 0.628], [0.000, 0.500, 0.227], [0.000, 0.500, 0.773], [0.500, 0.000, 0.227], [0.500, 0.000, 0.773], [0.500, 0.500, 0.000]]}

=====

# 10
{"formula": "CePuAgGe", "functional": "PBE-GGA", "state": "optimized geometry", "e_form_ev_per_atom": -0.28, "space_group": "F-43m", "dft_energy_ev_per_fu": -28.9, "lattice_angstrom": [[0.000, 3.649, 3.649], [3.649, 0.000, 3.649], [3.649, 3.649, 0.000]], "species": ["Ce", "Pu", "Ag", "Ge"], "frac_coords": [[0.000, 0.000, 0.000], [0.500, 0.500, 0.500], [0.750, 0.750, 0.750], [0.250, 0.250, 0.250]]}

=====

# 11
{"formula": "CePu2Ag2Ge2", "functional": "PBE-GGA", "state": "optimized geometry", "e_form_ev_per_atom": -0.26, "space_group": "R-3m", "dft_energy_ev_per_fu": -51.4, "lattice_angstrom": [[2.327, 1.344, 8.326], [-2.327, 1.344, 8.326], [0.000, -2.687, 8.326]], "species": ["Ce", "Pu", "Pu", "Ag", "Ag", "Ge", "Ge"], "frac_coords": [[0.000, 0.000, 0.000], [0.141, 0.141, 0.141], [0.859, 0.859, 0.859], [0.417, 0.417, 0.417], [0.583, 0.583, 0.583], [0.264, 0.264, 0.264], [0.736, 0.736, 0.736]]}

=====

# 12
{"formula": "Ce2AgGe4Rh3", "functional": "PBE-GGA", "state": "optimized geometry", "e_form_ev_per_atom": -0.70, "space_group": "P-4m2", "dft_energy_ev_per_fu": -62.2, "lattice_angstrom": [[4.311, 0.000, 0.000], [0.000, 4.311, 0.000], [0.000, 0.000, 10.146]], "species": ["Ce", "Ce", "Ag", "Ge", "Ge", "Ge", "Ge", "Rh", "Rh", "Rh"], "frac_coords": [[0.000, 0.500, 0.239], [0.500, 0.000, 0.761], [0.000, 0.000, 0.500], [0.000, 0.000, 0.000], [0.000, 0.500, 0.639], [0.500, 0.000, 0.361], [0.500, 0.500, 0.000], [0.000, 0.500, 0.878], [0.500, 0.000, 0.122], [0.500, 0.500, 0.500]]}

=====

# 13
{"formula": "Ce2AgGe3Rh4", "functional": "PBE-GGA", "state": "optimized geometry", "e_form_ev_per_atom": -0.71, "space_group": "P-4m2", "dft_energy_ev_per_fu": -65.1, "lattice_angstrom": [[4.070, 0.000, 0.000], [0.000, 4.070, 0.000], [0.000, 0.000, 11.258]], "species": ["Ce", "Ce", "Ag", "Ge", "Ge", "Ge", "Rh", "Rh", "Rh", "Rh"], "frac_coords": [[0.000, 0.500, 0.245], [0.500, 0.000, 0.755], [0.500, 0.500, 0.000], [0.000, 0.000, 0.000], [0.000, 0.500, 0.622], [0.500, 0.000, 0.378], [0.000, 0.000, 0.500], [0.000, 0.500, 0.837], [0.500, 0.000, 0.163], [0.500, 0.500, 0.500]]}

=====

# 14
{"formula": "Ce3AgGeS7", "functional": "PBE-GGA", "state": "optimized geometry", "space_group": "P6_3", "dft_energy_ev_per_fu": -70.5, "formation_energy_uncorrected_ev_per_atom": -1.364, "lattice_angstrom": [[10.318, 0.000, 0.000], [-5.159, 8.936, 0.000], [0.000, 0.000, 5.855]], "species": ["Ce", "Ce", "Ce", "Ce", "Ce", "Ce", "Ag", "Ag", "Ge", "Ge", "S", "S", "S", "S", "S", "S", "S", "S", "S", "S", "S", "S", "S", "S"], "frac_coords": [[0.127, 0.360, 0.000], [0.233, 0.873, 0.000], [0.360, 0.233, 0.500], [0.640, 0.767, 0.000], [0.767, 0.127, 0.500], [0.873, 0.640, 0.500], [0.000, 0.000, 0.071], [0.000, 0.000, 0.571], [0.333, 0.667, 0.417], [0.667, 0.333, 0.917], [0.096, 0.269, 0.521], [0.105, 0.585, 0.261], [0.174, 0.904, 0.521], [0.269, 0.174, 0.021], [0.333, 0.667, 0.796], [0.415, 0.520, 0.261], [0.480, 0.895, 0.261], [0.520, 0.105, 0.761], [0.585, 0.480, 0.761], [0.667, 0.333, 0.296], [0.731, 0.826, 0.521], [0.826, 0.096, 0.021], [0.895, 0.415, 0.761], [0.904, 0.731, 0.021]]}

=====

# 15
{"formula": "Ce2SmAg2Ge2", "functional": "PBE-GGA", "state": "optimized geometry", "e_form_ev_per_atom": -0.41, "space_group": "R-3m", "dft_energy_ev_per_fu": -34.4, "lattice_angstrom": [[2.244, 1.296, 9.033], [-2.244, 1.296, 9.033], [0.000, -2.592, 9.033]], "species": ["Ce", "Ce", "Sm", "Ag", "Ag", "Ge", "Ge"], "frac_coords": [[0.142, 0.142, 0.142], [0.858, 0.858, 0.858], [0.000, 0.000, 0.000], [0.407, 0.407, 0.407], [0.593, 0.593, 0.593], [0.263, 0.263, 0.263], [0.737, 0.737, 0.737]]}

=====

# 16
{"formula": "TbCeAgGe", "functional": "PBE-GGA", "state": "optimized geometry", "e_form_ev_per_atom": -0.44, "space_group": "F-43m", "dft_energy_ev_per_fu": -19.8, "lattice_angstrom": [[0.000, 3.653, 3.653], [3.653, 0.000, 3.653], [3.653, 3.653, 0.000]], "species": ["Tb", "Ce", "Ag", "Ge"], "frac_coords": [[0.000, 0.000, 0.000], [0.500, 0.500, 0.500], [0.250, 0.250, 0.250], [0.750, 0.750, 0.750]]}

=====

# 17
{"formula": "CeTmAgGe", "functional": "PBE-GGA", "state": "optimized geometry", "e_form_ev_per_atom": -0.43, "space_group": "F-43m", "dft_energy_ev_per_fu": -19.6, "lattice_angstrom": [[0.000, 3.622, 3.622], [3.622, 0.000, 3.622], [3.622, 3.622, 0.000]], "species": ["Ce", "Tm", "Ag", "Ge"], "frac_coords": [[0.000, 0.000, 0.000], [0.500, 0.500, 0.500], [0.750, 0.750, 0.750], [0.250, 0.250, 0.250]]}

=====

# 18
{"formula": "CeZnAgGe", "functional": "PBE-GGA", "state": "optimized geometry", "e_form_ev_per_atom": -0.29, "space_group": "F-43m", "dft_energy_ev_per_fu": -15.8, "lattice_angstrom": [[0.000, 3.445, 3.445], [3.445, 0.000, 3.445], [3.445, 3.445, 0.000]], "species": ["Ce", "Zn", "Ag", "Ge"], "frac_coords": [[0.000, 0.000, 0.000], [0.250, 0.250, 0.250], [0.500, 0.500, 0.500], [0.750, 0.750, 0.750]]}

=====

# 19
{"formula": "CeAgH", "functional": "PBE-GGA", "state": "optimized geometry", "space_group": "C2/m", "dft_energy_ev_per_fu": -12.6, "lattice_angstrom": [[4.639, -1.978, 0.000], [4.639, 1.978, 0.000], [-3.575, 0.000, 6.340]], "species": ["Ce", "Ce", "Ag", "Ag", "H", "H"], "frac_coords": [[0.069, 0.069, 0.312], [0.931, 0.931, 0.688], [0.321, 0.321, 0.929], [0.679, 0.679, 0.071], [0.345, 0.345, 0.519], [0.655, 0.655, 0.481]]}